A plane-wave DFT calculation with PBE was carried out for crystalline Dy2Ga6Co9 at its relaxed geometry.

## Properties
Formation energy from the elements in eV per atom: -0.147
Mass density in Mg/m³: 8.0
Uncorrected energy in eV/cell: -93.81
Total magnetic moment in μB/cell: 7.3

a b c (Å): 5.1119 5.1119 11.6490
angles (deg): 90.00 90.00 120.00
With the nearest neighbours (Å) after each atom.
Fractional coordinates of all 17 atoms:
Dy1 0.0000 0.0000 0.1696  6 Ga 2.95, 12 Co 3.17-3.23
Dy2 0.0000 0.0000 0.8304  6 Ga 2.95, 12 Co 3.17-3.23
Ga1 0.3333 0.6667 0.1635  6 Co 2.41-2.44
Ga2 0.3333 0.6667 0.5000  6 Co 2.47
Ga3 0.3333 0.6667 0.8365  6 Co 2.41-2.44
Ga4 0.6667 0.3333 0.1635  6 Co 2.41-2.44
Ga5 0.6667 0.3333 0.5000  6 Co 2.47
Ga6 0.6667 0.3333 0.8365  6 Co 2.41-2.44
Co1 0.0000 0.5000 0.0000  4 Ga 2.41, 4 Co 2.56
Co2 0.0000 0.5000 0.3304  4 Ga 2.44-2.47, 4 Co 2.56
Co3 0.0000 0.5000 0.6696  4 Ga 2.44-2.47, 4 Co 2.56
Co4 0.5000 0.0000 0.0000  4 Ga 2.41, 4 Co 2.56
Co5 0.5000 0.0000 0.3304  4 Ga 2.44-2.47, 4 Co 2.56
Co6 0.5000 0.0000 0.6696  4 Ga 2.44-2.47, 4 Co 2.56
Co7 0.5000 0.5000 0.0000  4 Ga 2.41, 4 Co 2.56
Co8 0.5000 0.5000 0.3304  4 Ga 2.44-2.47, 4 Co 2.56
Co9 0.5000 0.5000 0.6696  4 Ga 2.44-2.47, 4 Co 2.56